[1]
A plane-wave DFT calculation with PBE-GGA was carried out for an optimized crystal structure of Sc2AlP.

crystal system	hexagonal
energy above the most stable polymorph in this dataset	63	meV/atom

Geometry as CIF:
```
data_Sc2AlP
_chemical_formula_sum 'Sc4 Al2 P2'
_symmetry_space_group_name_H-M 'P 63/m m c'
_symmetry_Int_Tables_number 194
_symmetry_space_group_name_Hall '-P 6c 2c'
_cell_length_a 3.6090
_cell_length_b 3.6090
_cell_length_c 14.8527
_cell_angle_alpha 90.00
_cell_angle_beta 90.00
_cell_angle_gamma 120.00
loop_
_atom_site_label
_atom_site_fract_x
_atom_site_fract_y
_atom_site_fract_z
_atom_site_occupancy
Sc1 0.3333 0.6667 0.1024 1
Al1 0.3333 0.6667 0.7500 1
P1 0.0000 0.0000 0.0000 1
```

---

[2]
A plane-wave DFT calculation with PBE-GGA was carried out for an optimized crystal structure of Sc2AlP.

crystal system	cubic
energy above the most stable polymorph in this dataset	419	meV/atom

Geometry as CIF:
```
data_Sc2AlP
_chemical_formula_sum 'Sc8 Al4 P4'
_symmetry_space_group_name_H-M 'F m -3 m'
_symmetry_Int_Tables_number 225
_symmetry_space_group_name_Hall '-F 4 2 3'
_cell_length_a 6.679
_cell_length_b 6.679
_cell_length_c 6.679
_cell_angle_alpha 90.00
_cell_angle_beta 90.00
_cell_angle_gamma 90.00
loop_
_atom_site_label
_atom_site_fract_x
_atom_site_fract_y
_atom_site_fract_z
_atom_site_occupancy
Sc1 0.250 0.250 0.250 1
Al1 0.000 0.000 0.000 1
P1 0.000 0.000 0.500 1
```

---

[3]
A plane-wave DFT calculation with PBE-GGA was carried out for an optimized crystal structure of Sc2AlP.

crystal system	tetragonal
energy above the most stable polymorph in this dataset	379	meV/atom

Geometry as CIF:
```
data_Sc2AlP
_chemical_formula_sum 'Sc8 Al4 P4'
_symmetry_space_group_name_H-M 'I -4 2 d'
_symmetry_Int_Tables_number 122
_symmetry_space_group_name_Hall 'I -4 2bw'
_cell_length_a 7.313
_cell_length_b 7.313
_cell_length_c 6.059
_cell_angle_alpha 90.00
_cell_angle_beta 90.00
_cell_angle_gamma 90.00
loop_
_atom_site_label
_atom_site_fract_x
_atom_site_fract_y
_atom_site_fract_z
_atom_site_occupancy
Sc1 0.221 0.250 0.125 1
Al1 0.000 0.000 0.500 1
P1 0.000 0.000 0.000 1
```

---

[4]
A plane-wave DFT calculation with PBE-GGA was carried out for an optimized crystal structure of ScAl4P.

crystal system	cubic

Geometry as CIF:
```
data_ScAl4P
_chemical_formula_sum 'Sc4 Al16 P4'
_symmetry_space_group_name_H-M 'F -4 3 m'
_symmetry_Int_Tables_number 216
_symmetry_space_group_name_Hall 'F -4 2 3'
_cell_length_a 7.498
_cell_length_b 7.498
_cell_length_c 7.498
_cell_angle_alpha 90.00
_cell_angle_beta 90.00
_cell_angle_gamma 90.00
loop_
_atom_site_label
_atom_site_fract_x
_atom_site_fract_y
_atom_site_fract_z
_atom_site_occupancy
Sc1 0.000 0.000 0.000 1
Al1 0.125 0.125 0.625 1
P1 0.250 0.250 0.250 1
```

---

Computed values of formation enthalpy at 0 K (unit: kJ/mol of atoms) for the preceding records, in sequence: -77.8; -43.5; -47.3; -2.9.
Computed values of density of states at the Fermi level (unit: states/eV/cell) for the preceding records, in sequence: 5.46; 17.54; 5.32; 31.06.
Computed values of final energy (unit: eV per atom) for the preceding records, in sequence: -6.260; -5.905; -5.944; -4.482.